A plane-wave DFT calculation with GGA-PBEsol was carried out for a geometry-optimized Ta2CdW structure.

Values from the calculation:
- SG = Immm
- E_form (meV per atom) = 312

Lattice parameters (Å, degrees): 5.224 5.224 5.224 140.81 128.09 66.92
Positions (direct):
Ta  0.236  0.236  0.000
Ta  0.764  0.764  0.000
Cd  0.500  0.000  0.500
W  0.000  0.500  0.500